# 1
A plane-wave DFT calculation with PBE-GGA was carried out for crystalline KIrSeO at its relaxed geometry.

a = 3.8872 Å, b = 3.8872 Å, c = 8.9904 Å
α = 90.00°, β = 90.00°, γ = 90.00°
Closest atoms and distances in Å follow each position.
Space group P4/nmm (No. 129, origin choice 2)
Inequivalent atoms, fractional coordinates:
K: 0.2500 0.7500 0.0000 x2  4 K 2.75
Ir: 0.2500 0.2500 0.3784 x2  4 O 2.23
Se: 0.2500 0.2500 0.7340 x2  4 O 2.86, 5 Ir 2.93-3.20, 4 K 3.08
O: 0.2500 0.7500 0.5000 x2  4 Ir 2.23

Results
Offset from the most stable computed form   1.022 eV/atom


# 2
A plane-wave DFT calculation with PBE-GGA was carried out for crystalline KIrSeO at its relaxed geometry.

a = 4.9950 Å, b = 5.1955 Å, c = 13.7700 Å
α = 90.00°, β = 95.80°, γ = 90.00°
Closest atoms and distances in Å follow each position.
Space group P2_1 (No. 4)
Inequivalent atoms, fractional coordinates:
K: 0.1540 0.0000 0.1572 x2  3 Se 3.04-3.40
K: 0.3453 0.0011 0.8456 x2  2 Se 2.97-2.98
Ir: 0.0624 0.1468 0.5898 x2  3 O 2.01-2.20
Ir: 0.4867 0.8524 0.5898 x2  3 O 2.01-2.21
Se: 0.1876 0.5002 0.2724 x2  2 Ir 2.49
Se: 0.2976 0.4998 0.6736 x2  2 Ir 2.41
O: 0.1331 0.2813 0.4579 x2  3 Ir 2.01-2.20
O: 0.3431 0.7184 0.4577 x2  3 Ir 2.01-2.21

Results
Offset from the most stable computed form   0.321 eV/atom


# 3
A plane-wave DFT calculation with PBE-GGA was carried out for crystalline KIrSeO at its relaxed geometry.

a = 5.8101 Å, b = 8.9916 Å, c = 6.6282 Å
α = 90.00°, β = 90.84°, γ = 90.00°
Closest atoms and distances in Å follow each position.
Space group P2_1/c (No. 14)
Inequivalent atoms, fractional coordinates:
K: 0.2306 0.1506 0.4754 x4  1 O 2.58
Ir: 0.2745 0.7482 0.7633 x4  2 O 1.96
Se: 0.2741 0.5473 0.5090 x4  2 Ir 2.46-2.47
O: 0.2665 0.6337 0.0147 x4  2 Ir 1.96

Results
Offset from the most stable computed form   0.000 eV/atom


# 4
A plane-wave DFT calculation with PBE-GGA was carried out for crystalline K2Sm2IrO7 at its relaxed geometry.

a = 5.6471 Å, b = 5.6471 Å, c = 37.5961 Å
α = 90.00°, β = 90.00°, γ = 120.00°
Closest atoms and distances in Å follow each position.
Space group R-3c (No. 167, hexagonal axes)
Inequivalent atoms, fractional coordinates:
K: 0.0000 0.0000 0.0868 x12  6 O 2.63-2.78
Sm: 0.0000 0.0000 0.1907 x12  4 O 2.23-2.35
Ir: 0.0000 0.0000 0.0000 x6  6 O 1.95
O: 0.0000 0.0000 0.2500 x6  2 Sm 2.23
O: 0.0090 0.4199 0.1942 x36  1 Ir 1.95

Results
Energy   -6.67 eV per atom


# 5
A plane-wave DFT calculation with PBE-GGA was carried out for crystalline K2TlIrO6 at its relaxed geometry.

a = 8.2234 Å, b = 8.2234 Å, c = 8.2234 Å
α = 90.00°, β = 90.00°, γ = 90.00°
Closest atoms and distances in Å follow each position.
Space group Fm-3m (No. 225)
Inequivalent atoms, fractional coordinates:
K: 0.2500 0.2500 0.2500 x8  12 O 2.91
Tl: 0.0000 0.0000 0.0000 x4  6 O 2.21
Ir: 0.0000 0.0000 0.5000 x4  6 O 1.91
O: 0.0000 0.0000 0.2682 x24  1 Ir 1.91

Results
Energy   -5.15 eV per atom


# 6
A plane-wave DFT calculation with PBE-GGA was carried out for crystalline K2ZnIrO6 at its relaxed geometry.

a = 7.9279 Å, b = 7.9279 Å, c = 7.9279 Å
α = 90.00°, β = 90.00°, γ = 90.00°
Closest atoms and distances in Å follow each position.
Space group Fm-3m (No. 225)
Inequivalent atoms, fractional coordinates:
K: 0.2500 0.2500 0.2500 x8  12 O 2.80
Zn: 0.0000 0.0000 0.0000 x4  6 O 2.08
Ir: 0.0000 0.0000 0.5000 x4  6 O 1.89
O: 0.0000 0.0000 0.2618 x24  1 Ir 1.89, 1 Zn 2.08

Results
Energy   -5.19 eV per atom